A plane-wave DFT calculation with PBE was carried out for a relaxed TmZnGa2Au2 crystal.

The structure in CIF format:
```
data_TmZnGa2Au2
_chemical_formula_sum 'Tm1 Zn1 Ga2 Au2'
_space_group_name_H-M_alt 'P -3 m 1'
_space_group_IT_number 164
_space_group_name_Hall '-P 3 2"'
_cell_length_a 4.4863
_cell_length_b 4.4863
_cell_length_c 6.4500
_cell_angle_alpha 90.00
_cell_angle_beta 90.00
_cell_angle_gamma 120.00
loop_
_atom_site_label
_atom_site_fract_x
_atom_site_fract_y
_atom_site_fract_z
_atom_site_occupancy
Tm1 0.0000 0.0000 0.0000 1
Zn1 0.0000 0.0000 0.5000 1
Ga1 0.3333 0.6667 0.7357 1
Au1 0.3333 0.6667 0.2712 1
```

The final energy comes out at -3.5217 eV/atom. The crystal system is trigonal. The value obtained for the density of states at the Fermi level is 2.8 states/eV per cell. The value obtained for the formation energy from the elements is -0.46 eV per atom. The volume comes out at 112 Å³/cell.



A plane-wave DFT calculation with PBE was carried out for a relaxed ScBe2Pd7 crystal.

The structure in CIF format:
```
data_ScBe2Pd7
_chemical_formula_sum 'Sc2 Be4 Pd14'
_space_group_name_H-M_alt 'C m m m'
_space_group_IT_number 65
_space_group_name_Hall '-C 2 2'
_cell_length_a 7.2284
_cell_length_b 10.8257
_cell_length_c 4.1675
_cell_angle_alpha 90.00
_cell_angle_beta 90.00
_cell_angle_gamma 90.00
loop_
_atom_site_label
_atom_site_fract_x
_atom_site_fract_y
_atom_site_fract_z
_atom_site_occupancy
Sc1 0.0000 0.0000 0.0000 1
Be1 0.0000 0.2878 0.5000 1
Pd1 0.0000 0.3251 0.0000 1
Pd2 0.0000 0.5000 0.5000 1
Pd3 0.1891 0.1283 0.5000 1
```

The final energy comes out at -5.2669 eV/atom. The crystal system is orthorhombic. The value obtained for the density of states at the Fermi level is 7.2 states/eV per cell. The value obtained for the formation energy from the elements is -0.25 eV per atom. The volume comes out at 326 Å³/cell.



A plane-wave DFT calculation with PBE was carried out for a relaxed SiOs2Cl crystal.

The structure in CIF format:
```
data_SiOs2Cl
_chemical_formula_sum 'Si1 Os2 Cl1'
_space_group_name_H-M_alt 'P 1 m 1'
_space_group_IT_number 6
_space_group_name_Hall 'P -2y'
_cell_length_a 2.7982
_cell_length_b 3.6432
_cell_length_c 7.5718
_cell_angle_alpha 90.00
_cell_angle_beta 96.52
_cell_angle_gamma 90.00
loop_
_atom_site_label
_atom_site_fract_x
_atom_site_fract_y
_atom_site_fract_z
_atom_site_occupancy
Si1 0.0000 0.0000 0.0000 1
Os1 0.4600 0.5000 0.8698 1
Os2 0.9005 0.0000 0.6762 1
Cl1 0.8347 0.5000 0.4628 1
```

The final energy comes out at -7.1066 eV/atom. The crystal system is monoclinic. The value obtained for the raw formation energy is 1.303 eV/f.u. The value obtained for the density of states at the Fermi level is 2.4 states/eV per cell. The volume comes out at 77 Å³/cell. For the energy above the most stable polymorph in this dataset, the calculation gives 0.0 kJ per mole of atoms.



A plane-wave DFT calculation with PBE was carried out for a relaxed Ca2SmCd crystal.

The structure in CIF format:
```
data_Ca2SmCd
_chemical_formula_sum 'Ca2 Sm1 Cd1'
_space_group_name_H-M_alt 'P 4/m m m'
_space_group_IT_number 123
_space_group_name_Hall '-P 4 2'
_cell_length_a 4.1389
_cell_length_b 4.1389
_cell_length_c 7.6149
_cell_angle_alpha 90.00
_cell_angle_beta 90.00
_cell_angle_gamma 90.00
loop_
_atom_site_label
_atom_site_fract_x
_atom_site_fract_y
_atom_site_fract_z
_atom_site_occupancy
Ca1 0.0000 0.0000 0.2273 1
Sm1 0.5000 0.5000 0.5000 1
Cd1 0.5000 0.5000 0.0000 1
```

The final energy comes out at -2.4764 eV/atom. The crystal system is tetragonal. The value obtained for the density of states at the Fermi level is 3.6 states/eV per cell. The value obtained for the formation energy from the elements is -0.07 eV per atom. The volume comes out at 130 Å³/cell. For the energy above the most stable polymorph in this dataset, the calculation gives 0.0 kJ per mole of atoms.



A plane-wave DFT calculation with PBE was carried out for a relaxed CaSc2Ta crystal.

The structure in CIF format:
```
data_CaSc2Ta
_chemical_formula_sum 'Ca2 Sc4 Ta2'
_space_group_name_H-M_alt 'C m m 2'
_space_group_IT_number 35
_space_group_name_Hall 'C 2 -2'
_cell_length_a 4.2447
_cell_length_b 4.4631
_cell_length_c 10.4109
_cell_angle_alpha 90.00
_cell_angle_beta 90.00
_cell_angle_gamma 90.00
loop_
_atom_site_label
_atom_site_fract_x
_atom_site_fract_y
_atom_site_fract_z
_atom_site_occupancy
Ca1 0.0000 0.0000 0.0000 1
Sc1 0.0000 0.0000 0.4588 1
Sc2 0.0000 0.5000 0.7115 1
Ta1 0.0000 0.5000 0.2604 1
```

The final energy comes out at -6.2916 eV/atom. The crystal system is orthorhombic. The value obtained for the density of states at the Fermi level is 9.2 states/eV per cell. The value obtained for the formation energy from the elements is 0.34 eV per atom. The volume comes out at 197 Å³/cell. For the energy above the most stable polymorph in this dataset, the calculation gives 11.8 kJ per mole of atoms.



A plane-wave DFT calculation with PBE was carried out for a relaxed YSnBr3 crystal.

The structure in CIF format:
```
data_YSnBr3
_chemical_formula_sum 'Y1 Sn1 Br3'
_space_group_name_H-M_alt 'P m -3 m'
_space_group_IT_number 221
_space_group_name_Hall '-P 4 2 3'
_cell_length_a 5.7528
_cell_length_b 5.7528
_cell_length_c 5.7528
_cell_angle_alpha 90.00
_cell_angle_beta 90.00
_cell_angle_gamma 90.00
loop_
_atom_site_label
_atom_site_fract_x
_atom_site_fract_y
_atom_site_fract_z
_atom_site_occupancy
Y1 0.0000 0.0000 0.0000 1
Sn1 0.5000 0.5000 0.5000 1
Br1 0.0000 0.5000 0.5000 1
```

The final energy comes out at -3.3245 eV/atom. The crystal system is cubic. The value obtained for the raw formation energy is -1.137 eV/f.u. The value obtained for the density of states at the Fermi level is 6.1 states/eV per cell. The volume comes out at 190 Å³/cell. For the energy above the most stable polymorph in this dataset, the calculation gives 59.4 kJ per mole of atoms.